# 1
Computed, not measured: a geometry-optimized Na3Ag5Ge2 structure at the PBE-GGA level of DFT.

Summary:
Its total moment is 0.000 μB/cell. The calculated total energy comes out at -2.664 eV/atom. The calculation puts the formation energy at 0.080 eV per atom.

Cell and atoms, written as extended XYZ:
```
20
Lattice="-2.596 -3.785 -3.673 -4.505 -6.294 4.968 -8.147 3.455 -2.506" Properties=species:S:1:pos:R:3 pbc="T T T"
Ag -8.426 -4.705 1.397
Ag -6.975 -2.366 0.313
Ag -4.388 -3.071 1.562
Ag -6.824 -1.919 -2.608
Ag -9.465 -2.132 1.832
Ag -5.784 -4.492 -3.042
Ag -8.274 -4.258 -1.523
Ag -10.763 -4.024 -0.005
Ag -4.486 -2.600 -1.206
Ag -10.861 -3.553 -2.773
Ge -11.798 -6.321 0.742
Ge -11.574 -1.553 0.374
Ge -3.451 -0.303 -1.953
Ge -3.675 -5.071 -1.585
Na -9.597 -0.774 -1.827
Na -1.947 -2.839 -2.754
Na -6.176 0.919 -1.286
Na -0.649 -0.946 -0.918
Na -5.652 -5.850 0.616
Na -9.073 -7.543 0.075
```

***

# 2
Computed, not measured: a geometry-optimized ZrCoTcSb structure at the PBE-GGA level of DFT.

Summary:
Its total moment is 1.012 μB/cell. The calculated total energy comes out at -7.773 eV/atom. The uncorrected formation energy comes out at -238 meV per atom.

Cell and atoms, written as extended XYZ:
```
4
Lattice="4.540 0.000 0.000 2.270 3.932 0.000 2.270 1.311 3.707" Properties=species:S:1:pos:R:3 pbc="T T T"
Zr 4.540 2.621 1.853
Tc 2.270 1.311 0.927
Sb 0.000 0.000 0.000
Co 6.810 3.932 2.780
```

***

# 3
Computed, not measured: a geometry-optimized Ba2VBRh structure at the PBE-GGA level of DFT.

Summary:
Its total moment is 0.842 μB/cell. The calculated total energy comes out at -4.655 eV/atom. The calculation puts the formation energy at 0.743 eV per atom.

Cell and atoms, written as extended XYZ:
```
5
Lattice="5.977 0.000 0.000 0.000 3.976 0.000 0.000 0.000 5.977" Properties=species:S:1:pos:R:3 pbc="T T T"
V 2.988 1.988 2.988
Ba 2.988 0.000 0.000
Ba 0.000 0.000 2.988
B 0.000 0.000 0.000
Rh 0.000 1.988 0.000
```

***

# 4
Computed, not measured: a geometry-optimized La6Ru2I3Cl structure at the PBE-GGA level of DFT.

Summary:
Its total moment is 0.000 μB/cell. The calculated total energy comes out at -5.557 eV/atom. The uncorrected formation energy comes out at -1006 meV per atom.

Cell and atoms, written as extended XYZ:
```
12
Lattice="7.410 0.000 0.007 -3.703 6.418 0.007 -1.229 -2.128 8.236" Properties=species:S:1:pos:R:3 pbc="T T T"
I -2.497 4.303 4.125
I 4.975 -0.013 4.125
I 1.239 2.145 4.125
La -0.187 4.283 6.676
La -1.325 2.313 1.574
La 3.803 1.978 6.676
La 2.376 4.113 1.573
La 0.102 0.177 6.676
La 2.665 0.008 1.574
Ru -0.002 4.281 0.007
Ru 3.709 2.138 0.007
Cl 0.000 0.000 0.000
```

***

Question: What is the calculated total energy in the third record?
Answer: -4.655 eV/atom